First-principles (GGA+U) data for a geometry-optimized Li5VP2O8F2 structure, as listed in Alexandria.

Structure (POSCAR):
```
Li5VP2O8F2
1.0
6.835 0.000 0.000
0.000 9.979 0.000
0.000 -4.989 8.642
P O Li F V
6 24 15 6 3
Direct
0.727 0.862 0.706
0.243 0.491 0.528
0.727 0.844 0.138
0.243 0.472 0.962
0.243 0.038 0.509
0.727 0.294 0.156
0.734 0.832 0.540
0.898 0.193 0.162
0.439 0.398 0.882
0.734 0.708 0.168
0.203 0.335 0.375
0.203 0.040 0.665
0.074 0.140 0.502
0.533 0.939 0.785
0.533 0.846 0.061
0.761 0.003 0.291
0.074 0.362 0.860
0.203 0.625 0.960
0.238 0.630 0.502
0.439 0.118 0.515
0.734 0.460 0.292
0.238 0.872 0.370
0.898 0.838 0.030
0.761 0.288 0.997
0.898 0.970 0.807
0.439 0.485 0.602
0.074 0.498 0.638
0.761 0.709 0.712
0.533 0.215 0.154
0.238 0.498 0.128
0.272 0.831 0.148
0.272 0.318 0.169
0.699 0.503 0.514
0.430 0.000 0.000
0.230 0.667 0.333
0.513 0.162 0.336
0.035 0.000 0.000
0.749 0.667 0.333
0.528 0.333 0.667
0.272 0.852 0.682
0.513 0.174 0.838
0.935 0.333 0.667
0.699 0.486 0.989
0.699 0.011 0.497
0.513 0.664 0.826
0.205 0.151 0.967
0.765 0.180 0.700
0.205 0.817 0.849
0.765 0.520 0.820
0.765 0.300 0.480
0.205 0.033 0.183
0.989 0.165 0.832
0.989 0.667 0.835
0.989 0.168 0.333
```

calculated volume = 10.9 A^3/atom
total energy = -6.401 eV per atom
SG = P3, No. 143